Entry 1:
This record from Alexandria via LeMat-Bulk describes a relaxed ErTm4Ag crystal. The functional is PBE.

Cell: 5.3374 6.3232 10.6553 Å, 90.00 104.50 90.00°
Fractional positions:
1 Er 0.8643 0.7148 0.7287
2 Er 0.1357 0.2148 0.2713
3 Tm 0.9343 0.2113 0.8687
4 Tm 0.0657 0.7113 0.1313
5 Tm 0.4649 0.8786 0.9297
6 Tm 0.5351 0.3786 0.0703
7 Tm 0.6764 0.5745 0.3527
8 Tm 0.3236 0.0745 0.6473
9 Tm 0.7425 0.0858 0.4851
10 Tm 0.2575 0.5858 0.5149
11 Ag 0.6023 0.9683 0.2046
12 Ag 0.3977 0.4683 0.7954

Results
Formation energy from the elements (eV/atom): 0.046
Total DFT energy (no corrections) (eV per atom): -4.171
Energy above the most stable polymorph in this dataset (eV per formula unit): 0.75


Entry 2:
This record from Alexandria via LeMat-Bulk describes a relaxed Ho2Cd2Hg3 crystal. The functional is PBE.

Cell: 4.9926 4.9920 8.7902 Å, 90.11 106.48 120.00°
Fractional positions:
1 Ho 0.7698 0.3853 0.1545
2 Ho 0.2302 0.6147 0.8455
3 Cd 0.2649 0.1334 0.3967
4 Cd 0.7351 0.8666 0.6033
5 Hg 0.0000 0.0000 0.0000
6 Hg 0.4969 0.2479 0.7457
7 Hg 0.5031 0.7521 0.2543

Results
Formation energy from the elements (eV/atom): -0.258
Total DFT energy (no corrections) (eV per atom): -1.957


Entry 3:
This record from Alexandria via LeMat-Bulk describes a relaxed Li2La2HoIn5 crystal. The functional is PBE.

Cell: 4.5831 10.4416 10.4416 Å, 90.00 90.00 90.00°
Fractional positions:
1 Li 0.0000 0.1152 0.6152
2 Li 0.0000 0.8848 0.3848
3 Li 0.0000 0.6152 0.8848
4 Li 0.0000 0.3848 0.1152
5 La 0.0000 0.6796 0.1796
6 La 0.0000 0.3204 0.8204
7 La 0.0000 0.1796 0.3204
8 La 0.0000 0.8204 0.6796
9 Ho 0.0000 0.0000 0.0000
10 Ho 0.0000 0.5000 0.5000
11 In 0.5000 0.2107 0.0649
12 In 0.5000 0.7893 0.9351
13 In 0.5000 0.0649 0.7893
14 In 0.5000 0.7107 0.4351
15 In 0.5000 0.9351 0.2107
16 In 0.5000 0.2893 0.5649
17 In 0.5000 0.5649 0.7107
18 In 0.5000 0.4351 0.2893
19 In 0.5000 0.5000 0.0000
20 In 0.5000 0.0000 0.5000

Results
Formation energy from the elements (eV/atom): -0.450
Total DFT energy (no corrections) (eV per atom): -3.645


Entry 4:
This record from Alexandria via LeMat-Bulk describes a relaxed Ta5Nb2Ru crystal. The functional is PBE.

Cell: 4.6599 5.5441 10.9789 Å, 90.00 90.00 90.00°
Fractional positions:
1 Ta 0.5000 0.3410 0.1126
2 Ta 0.5000 0.6590 0.8874
3 Ta 0.5000 0.8410 0.3874
4 Ta 0.5000 0.1590 0.6126
5 Ta 0.0000 0.8610 0.7457
6 Ta 0.0000 0.1390 0.2543
7 Ta 0.0000 0.3610 0.7543
8 Ta 0.0000 0.6390 0.2457
9 Ta 0.0000 0.5000 0.5000
10 Ta 0.0000 0.0000 0.0000
11 Nb 0.5000 0.3399 0.3717
12 Nb 0.5000 0.6601 0.6283
13 Nb 0.5000 0.1601 0.8717
14 Nb 0.5000 0.8399 0.1283
15 Ru 0.0000 0.0000 0.5000
16 Ru 0.0000 0.5000 0.0000

Results
Formation energy from the elements (eV/atom): -0.081
Total DFT energy (no corrections) (eV per atom): -11.166


Entry 5:
This record from Alexandria via LeMat-Bulk describes a relaxed Co2IrSe crystal. The functional is PBE.

Cell: 5.0806 5.0806 6.6737 Å, 67.63 67.63 90.00°
Fractional positions:
1 Ir 0.0000 0.0000 0.0000
2 Ir 0.7500 0.2500 0.5000
3 Co 0.6243 0.1250 0.2500
4 Co 0.1257 0.6250 0.2500
5 Co 0.3750 0.3757 0.7500
6 Co 0.8750 0.8743 0.7500
7 Se 0.5000 0.5000 0.0000
8 Se 0.2500 0.7500 0.5000

Results
Total DFT energy (no corrections) (eV per atom): -6.033


Entry 6:
This record from Alexandria via LeMat-Bulk describes a relaxed RbCd3Rh crystal. The functional is PBE.

Cell: 8.6826 8.8224 4.7360 Å, 89.96 123.28 81.97°
Fractional positions:
1 Rh 0.8417 0.6614 0.5820
2 Rh 0.7769 0.0184 0.5166
3 Rb 0.3481 0.4628 0.0846
4 Rb 0.2114 0.1114 0.4526
5 Cd 0.8176 0.8416 0.0578
6 Cd 0.7009 0.1794 0.9400
7 Cd 0.5033 0.8417 0.2442
8 Cd 0.8119 0.5137 0.0519
9 Cd 0.1143 0.8378 0.8561
10 Cd 0.8419 0.3256 0.5820

Results
Formation energy from the elements (eV/atom): -0.040
Total DFT energy (no corrections) (eV per atom): -2.253
Energy above the most stable polymorph in this dataset (eV per formula unit): 0.34


Entry 7:
This record from Alexandria via LeMat-Bulk describes a relaxed LaReRu2 crystal. The functional is PBE.

Cell: 5.3121 5.3121 5.3121 Å, 141.36 121.89 71.98°
Fractional positions:
1 La 0.7500 0.2500 0.5000
2 Re 0.2500 0.7500 0.5000
3 Ru 0.0472 0.0472 0.0000
4 Ru 0.4528 0.4528 0.0000

Results
Formation energy from the elements (eV/atom): 0.459
Total DFT energy (no corrections) (eV per atom): -8.523
Energy above the most stable polymorph in this dataset (eV per formula unit): 1.29


Entry 8:
This record from Alexandria via LeMat-Bulk describes a relaxed CeCdF crystal. The functional is PBE.

Cell: 3.6242 3.6245 14.6153 Å, 90.00 90.00 120.00°
Fractional positions:
1 Cd 0.5551 0.1103 0.0000
2 Cd 0.5571 0.1142 0.5000
3 F 0.5552 0.1105 0.2657
4 F 0.5552 0.1105 0.7343
5 Ce 0.2219 0.4439 0.8222
6 Ce 0.2219 0.4439 0.1778

Results
Total DFT energy (no corrections) (eV per atom): -4.381


Repeat the second record exactly.
This record from Alexandria via LeMat-Bulk describes a relaxed Ho2Cd2Hg3 crystal. The functional is PBE.

Cell: 4.9926 4.9920 8.7902 Å, 90.11 106.48 120.00°
Fractional positions:
1 Ho 0.7698 0.3853 0.1545
2 Ho 0.2302 0.6147 0.8455
3 Cd 0.2649 0.1334 0.3967
4 Cd 0.7351 0.8666 0.6033
5 Hg 0.0000 0.0000 0.0000
6 Hg 0.4969 0.2479 0.7457
7 Hg 0.5031 0.7521 0.2543

Results
Formation energy from the elements (eV/atom): -0.258
Total DFT energy (no corrections) (eV per atom): -1.957


- Among the records above, which one has the lowest total DFT energy (no corrections)?
  Ta5Nb2Ru